# Er2MnTlO6

Crystalline Er2MnTlO6 at its relaxed geometry (PBE+U, Alexandria).

## Properties
V   13.706 A^3/atom
Total DFT energy (no corrections)   -7.188 eV per atom

CIF file:
```
data_Er2MnTlO6
_chemical_formula_sum 'Er2 Mn1 Tl1 O6'
_space_group_name_H-M_alt 'P 1'
_space_group_IT_number 1
_space_group_name_Hall 'P 1'
_cell_length_a 5.585
_cell_length_b 5.589
_cell_length_c 5.883
_cell_angle_alpha 62.41
_cell_angle_beta 63.63
_cell_angle_gamma 61.52
loop_
_atom_site_label
_atom_site_fract_x
_atom_site_fract_y
_atom_site_fract_z
Er1 0.000 0.000 0.000
Er2 0.497 0.486 0.531
Mn1 0.696 0.699 0.903
Tl1 0.217 0.218 0.354
O1 0.096 0.398 0.682
O2 0.299 0.888 0.213
O3 0.428 0.784 0.721
O4 0.617 0.333 0.167
O5 0.782 0.057 0.717
O6 0.879 0.612 0.176
```